Below is a relaxed Sc2TaCd crystal, with properties calculated at the PBE level.

Cell: 4.196 4.196 20.178 Å, 90.00 90.00 90.00°
Sites, in units of the cell vectors:
Sc 0.241 0.250 0.125
Sc 0.250 0.741 0.375
Sc 0.250 0.759 0.875
Sc 0.259 0.250 0.625
Sc 0.741 0.750 0.625
Sc 0.750 0.241 0.875
Sc 0.750 0.259 0.375
Sc 0.759 0.750 0.125
Ta 0.000 0.000 0.000
Ta 0.000 0.500 0.250
Ta 0.500 0.000 0.750
Ta 0.500 0.500 0.500
Cd 0.000 0.000 0.500
Cd 0.000 0.500 0.750
Cd 0.500 0.000 0.250
Cd 0.500 0.500 0.000

Computed properties:
**Crystal system**: tetragonal
**E**: -5.773 eV per atom
**Energy relative to the elements**: 0.58 eV/atom